(1)
The following is a GGA-PBE calculation of Pr7Sm12Tm after structural relaxation, from Alexandria via LeMat-Bulk.

```
Pr7Sm12Tm
1.0
-2.921 -0.842 -8.382
-4.096 -7.738 1.688
-7.786 3.954 1.800
Pr Sm Tm
7 12 1
Direct
0.848 0.603 0.921
0.397 0.079 0.152
0.079 0.152 0.397
0.500 0.500 0.500
0.921 0.848 0.603
0.603 0.921 0.848
0.152 0.397 0.079
0.855 0.251 0.728
0.749 0.272 0.145
0.616 0.135 0.495
0.865 0.505 0.384
0.272 0.145 0.749
0.505 0.384 0.865
0.495 0.616 0.135
0.728 0.855 0.251
0.135 0.495 0.616
0.384 0.865 0.505
0.251 0.728 0.855
0.145 0.749 0.272
0.000 0.000 0.000
```

Properties
Magnetization in Bohr magnetons per cell: 0.0
Distance to the lowest polymorph of the same formula in meV per atom: 0
E in eV per atom: -4.5077



(2)
The following is a GGA-PBE calculation of Pr12Sm5Tm after structural relaxation, from Alexandria via LeMat-Bulk.

```
Pr12Sm5Tm
1.0
15.595 0.000 0.017
7.797 7.804 0.008
-0.006 0.000 5.209
Pr Sm Tm
12 5 1
Direct
0.836 0.000 0.500
0.164 0.000 0.500
0.666 0.000 0.000
0.334 0.000 0.000
0.331 0.668 0.000
0.001 0.668 0.000
0.999 0.332 0.000
0.669 0.332 0.000
0.499 0.334 0.500
0.833 0.666 0.500
0.167 0.334 0.500
0.501 0.666 0.500
0.500 0.000 0.500
0.166 0.668 0.500
0.834 0.332 0.500
0.667 0.667 0.000
0.333 0.333 0.000
0.000 0.000 0.000
```

Properties
Magnetization in Bohr magnetons per cell: 0.0
E in eV per atom: -4.7297



(3)
The following is a GGA-PBE calculation of Pr5SmTm3 after structural relaxation, from Alexandria via LeMat-Bulk.

```
Pr5SmTm3
1.0
6.323 0.000 0.000
-3.161 9.561 -4.606
0.000 -2.127 11.488
Pr Sm Tm
10 2 6
Direct
0.401 0.000 0.750
0.640 0.641 0.974
0.819 0.282 0.121
0.360 0.359 0.026
0.537 0.718 0.379
0.599 0.000 0.250
0.001 0.641 0.474
0.999 0.359 0.526
0.463 0.282 0.621
0.181 0.718 0.879
0.886 0.000 0.750
0.114 0.000 0.250
0.000 0.000 0.000
0.401 0.351 0.325
0.000 0.000 0.500
0.599 0.649 0.675
0.950 0.351 0.825
0.050 0.649 0.175
```

Properties
Magnetization in Bohr magnetons per cell: 0.0
Distance to the lowest polymorph of the same formula in meV per atom: 0
E in eV per atom: -4.3941



(4)
The following is a GGA-PBE calculation of PrSm5Tm3 after structural relaxation, from Alexandria via LeMat-Bulk.

```
PrSm5Tm3
1.0
9.158 1.821 1.275
4.259 8.310 1.275
5.918 4.469 10.511
Pr Sm Tm
2 10 6
Direct
0.898 0.898 0.865
0.102 0.102 0.135
0.917 0.508 0.224
0.320 0.680 0.000
0.632 0.632 0.065
0.441 0.441 0.427
0.559 0.559 0.573
0.368 0.368 0.935
0.508 0.917 0.224
0.680 0.320 0.000
0.083 0.492 0.776
0.492 0.083 0.776
0.703 0.703 0.681
0.831 0.831 0.339
0.000 0.000 0.000
0.000 0.000 0.500
0.297 0.297 0.319
0.169 0.169 0.661
```

Properties
Magnetization in Bohr magnetons per cell: 0.0
Distance to the lowest polymorph of the same formula in meV per atom: 234
E in eV per atom: -4.2249



(5)
The following is a GGA-PBE calculation of Pr3SmTm8 after structural relaxation, from Alexandria via LeMat-Bulk.

```
Pr3SmTm8
1.0
8.242 -1.341 -2.228
-5.931 6.154 -1.285
1.216 1.341 8.451
Pr Sm Tm
3 1 8
Direct
0.500 0.749 0.249
0.500 0.251 0.751
0.000 0.500 0.500
0.000 0.000 0.000
0.498 0.251 0.248
0.502 0.749 0.752
0.997 0.749 0.248
0.003 0.251 0.752
0.172 0.250 0.422
0.828 0.250 0.078
0.172 0.750 0.922
0.828 0.750 0.578
```

Properties
Magnetization in Bohr magnetons per cell: 0.0
E in eV per atom: -4.2856



(6)
The following is a GGA-PBE calculation of Pr7Sm3Tm after structural relaxation, from Alexandria via LeMat-Bulk.

```
Pr7Sm3Tm
1.0
-3.487 9.359 -2.995
-3.628 -9.071 2.881
-1.527 9.086 9.048
Pr Sm Tm
14 6 2
Direct
0.122 0.796 0.232
0.808 0.738 0.734
0.159 0.539 0.554
0.065 0.415 0.061
0.595 0.909 0.995
0.693 0.015 0.481
0.273 0.305 0.767
0.727 0.695 0.233
0.405 0.091 0.005
0.307 0.985 0.519
0.935 0.585 0.939
0.841 0.461 0.446
0.192 0.262 0.266
0.878 0.204 0.768
0.415 0.743 0.759
0.000 0.000 0.000
0.000 0.000 0.500
0.465 0.802 0.260
0.535 0.198 0.740
0.585 0.257 0.241
0.500 0.500 0.000
0.500 0.500 0.500
```

Properties
Magnetization in Bohr magnetons per cell: 0.0
Distance to the lowest polymorph of the same formula in meV per atom: 0
E in eV per atom: -4.6073



(7)
The following is a GGA-PBE calculation of Pr5SmTm6 after structural relaxation, from Alexandria via LeMat-Bulk.

```
Pr5SmTm6
1.0
-1.413 -2.289 4.373
-1.855 -8.419 -5.009
8.882 3.074 1.465
Pr Tm Sm
5 6 1
Direct
0.666 0.166 0.332
0.333 0.333 0.667
0.000 0.500 0.000
0.667 0.667 0.333
0.334 0.834 0.668
0.834 0.584 0.667
0.834 0.083 0.667
0.500 0.751 0.000
0.500 0.249 0.000
0.166 0.917 0.333
0.166 0.416 0.333
0.000 0.000 0.000
```

Properties
Magnetization in Bohr magnetons per cell: 0.0
E in eV per atom: -4.5998



(8)
The following is a GGA-PBE calculation of Pr5Sm3Tm2 after structural relaxation, from Alexandria via LeMat-Bulk.

```
Pr5Sm3Tm2
1.0
9.547 -2.131 -2.655
-3.363 9.119 -2.887
-0.647 -0.557 9.202
Pr Sm Tm
10 6 4
Direct
0.228 0.478 0.956
0.772 0.522 0.044
0.981 0.731 0.463
0.477 0.227 0.453
0.019 0.269 0.537
0.523 0.773 0.547
0.877 0.632 0.755
0.123 0.368 0.245
0.378 0.123 0.755
0.622 0.877 0.245
0.270 0.020 0.040
0.730 0.980 0.960
0.530 0.472 0.251
0.470 0.528 0.749
0.221 0.778 0.251
0.779 0.222 0.749
0.973 0.032 0.754
0.027 0.968 0.246
0.281 0.723 0.754
0.719 0.277 0.246
```

Properties
Magnetization in Bohr magnetons per cell: 0.0
E in eV per atom: -4.5329



Repeat the fourth record exactly.
The following is a GGA-PBE calculation of PrSm5Tm3 after structural relaxation, from Alexandria via LeMat-Bulk.

```
PrSm5Tm3
1.0
9.158 1.821 1.275
4.259 8.310 1.275
5.918 4.469 10.511
Pr Sm Tm
2 10 6
Direct
0.898 0.898 0.865
0.102 0.102 0.135
0.917 0.508 0.224
0.320 0.680 0.000
0.632 0.632 0.065
0.441 0.441 0.427
0.559 0.559 0.573
0.368 0.368 0.935
0.508 0.917 0.224
0.680 0.320 0.000
0.083 0.492 0.776
0.492 0.083 0.776
0.703 0.703 0.681
0.831 0.831 0.339
0.000 0.000 0.000
0.000 0.000 0.500
0.297 0.297 0.319
0.169 0.169 0.661
```

Properties
Magnetization in Bohr magnetons per cell: 0.0
Distance to the lowest polymorph of the same formula in meV per atom: 234
E in eV per atom: -4.2249



Q: Which value of E does entry 6 give?
A: -4.6073 eV per atom